# 1
The following is a DFT calculation (PBE) of a relaxed structure of Tb6Y2Mg.

a = 5.023 Å, b = 10.569 Å, c = 10.570 Å
α = 90.00°, β = 90.00°, γ = 90.00°
Sites, in units of the cell vectors:
Tb  0.500  0.499  0.335
Tb  0.000  0.335  0.501
Tb  0.500  0.165  0.001
Tb  0.000  0.332  0.168
Tb  0.000  0.668  0.832
Tb  0.500  0.832  0.332
Tb  0.000  0.999  0.165
Tb  0.500  0.168  0.668
Tb  0.500  0.501  0.665
Tb  0.500  0.835  0.999
Tb  0.000  0.001  0.835
Tb  0.000  0.665  0.499
Y  0.500  0.836  0.664
Y  0.000  0.336  0.836
Y  0.500  0.164  0.336
Y  0.000  0.664  0.164
Mg  0.000  0.000  0.500
Mg  0.500  0.500  0.000

Summary:
For the polymorph energy (0 for the lowest one), the calculation gives 0 meV/atom. As for the space-group type: P4_2/mnm. For the energy of formation, the calculation gives 2.2 kJ per mole of atoms.

# 2
The following is a DFT calculation (PBE) of a relaxed structure of TbYMg4.

a = 3.473 Å, b = 7.022 Å, c = 8.533 Å
α = 121.77°, β = 78.26°, γ = 75.68°
Each line ends with the local moment (μB).
Sites, in units of the cell vectors:
Mg  0.838  0.486  0.838  0.00
Mg  0.337  0.987  0.338  0.00
Mg  0.162  0.514  0.162  0.00
Mg  0.663  0.013  0.662  0.00
Y  0.500  0.500  0.500  0.07
Tb  0.000  0.000  0.000  0.10

Summary:
For the polymorph energy (0 for the lowest one), the calculation gives 29 meV/atom. As for the space-group type: C2/m. For the energy of formation, the calculation gives -5.1 kJ per mole of atoms.

# 3
The following is a DFT calculation (PBE) of a relaxed structure of TbY2Mg2.

a = 3.749 Å, b = 5.455 Å, c = 14.076 Å
α = 90.00°, β = 97.66°, γ = 90.00°
Sites, in units of the cell vectors:
Y  0.955  0.250  0.910
Y  0.045  0.750  0.090
Y  0.236  0.750  0.474
Y  0.764  0.250  0.526
Tb  0.151  0.250  0.302
Tb  0.849  0.750  0.698
Mg  0.447  0.750  0.894
Mg  0.360  0.250  0.719
Mg  0.553  0.250  0.106
Mg  0.640  0.750  0.281

Summary:
For the polymorph energy (0 for the lowest one), the calculation gives 0 meV/atom. As for the space-group type: Cmcm. For the energy of formation, the calculation gives -7.8 kJ per mole of atoms.

# 4
The following is a DFT calculation (PBE) of a relaxed structure of TbYMg14.

a = 6.922 Å, b = 6.922 Å, c = 8.007 Å
α = 90.00°, β = 90.00°, γ = 90.00°
Sites, in units of the cell vectors:
Mg  0.375  0.375  0.000
Mg  0.625  0.125  0.238
Mg  0.625  0.125  0.762
Mg  0.125  0.625  0.762
Mg  0.125  0.625  0.238
Mg  0.875  0.375  0.000
Mg  0.125  0.125  0.762
Mg  0.375  0.875  0.500
Mg  0.375  0.875  0.000
Mg  0.625  0.625  0.762
Mg  0.875  0.875  0.000
Mg  0.625  0.625  0.238
Mg  0.125  0.125  0.238
Mg  0.875  0.375  0.500
Tb  0.375  0.375  0.500
Y  0.875  0.875  0.500

Summary:
As for the space-group type: P4/mmm. For the energy of formation, the calculation gives -3.5 kJ per mole of atoms.

# 5
The following is a DFT calculation (PBE) of a relaxed structure of Tb2Y8Mg.

a = 5.691 Å, b = 9.944 Å, c = 9.944 Å
α = 40.56°, β = 92.07°, γ = 92.07°
Sites, in units of the cell vectors:
Y  0.766  0.820  0.820
Y  0.259  0.608  0.136
Y  0.234  0.180  0.180
Y  0.233  0.550  0.550
Y  0.767  0.450  0.450
Y  0.741  0.864  0.392
Y  0.259  0.136  0.608
Y  0.741  0.392  0.864
Tb  0.744  0.281  0.281
Tb  0.256  0.719  0.719
Mg  0.000  0.000  0.000

Summary:
For the polymorph energy (0 for the lowest one), the calculation gives 0 meV/atom. As for the space-group type: C2/m. For the energy of formation, the calculation gives 13.3 kJ per mole of atoms.

# 6
The following is a DFT calculation (PBE) of a relaxed structure of Tb4Y15Mg.

a = 5.027 Å, b = 5.027 Å, c = 25.228 Å
α = 90.00°, β = 90.00°, γ = 90.00°
Sites, in units of the cell vectors:
Y  0.500  0.500  0.399
Y  0.500  0.500  0.601
Y  0.500  0.000  0.500
Y  0.500  0.000  0.701
Y  0.000  0.500  0.701
Y  0.500  0.000  0.299
Y  0.500  0.500  0.804
Y  0.000  0.500  0.902
Y  0.500  0.000  0.902
Y  0.500  0.000  0.098
Y  0.000  0.500  0.299
Y  0.500  0.500  0.196
Y  0.000  0.500  0.098
Y  0.500  0.500  0.000
Y  0.000  0.500  0.500
Mg  0.000  0.000  0.000
Tb  0.000  0.000  0.198
Tb  0.000  0.000  0.802
Tb  0.000  0.000  0.601
Tb  0.000  0.000  0.399

Summary:
As for the space-group type: P4/mmm. For the energy of formation, the calculation gives 2.1 kJ per mole of atoms.

# 7
The following is a DFT calculation (PBE) of a relaxed structure of Tb9YMg2.

a = 4.953 Å, b = 4.953 Å, c = 14.951 Å
α = 90.00°, β = 90.00°, γ = 90.00°
Sites, in units of the cell vectors:
Tb  0.000  0.500  0.170
Tb  0.500  0.500  0.000
Tb  0.500  0.000  0.830
Tb  0.000  0.500  0.500
Tb  0.000  0.500  0.830
Tb  0.500  0.000  0.500
Tb  0.500  0.500  0.337
Tb  0.500  0.500  0.663
Tb  0.500  0.000  0.170
Mg  0.000  0.000  0.663
Mg  0.000  0.000  0.337
Y  0.000  0.000  0.000

Summary:
As for the space-group type: P4/mmm. For the energy of formation, the calculation gives 2.1 kJ per mole of atoms.

# 8
The following is a DFT calculation (PBE) of a relaxed structure of TbYMg.

a = 3.729 Å, b = 3.729 Å, c = 6.822 Å
α = 105.86°, β = 105.86°, γ = 90.00°
Each line ends with the local moment (μB).
Sites, in units of the cell vectors:
Tb  0.324  0.324  0.647  0.11
Mg  0.666  0.666  0.333  0.00
Y  0.010  0.010  0.020  0.09

Summary:
For the polymorph energy (0 for the lowest one), the calculation gives 30 meV/atom. As for the space-group type: I4mm. For the energy of formation, the calculation gives -4.7 kJ per mole of atoms.

# 9
The following is a DFT calculation (PBE) of a relaxed structure of Tb2YMg2.

a = 3.588 Å, b = 8.986 Å, c = 8.986 Å
α = 90.00°, β = 90.00°, γ = 90.00°
Sites, in units of the cell vectors:
Tb  0.000  0.130  0.370
Tb  0.000  0.370  0.870
Tb  0.000  0.630  0.130
Tb  0.000  0.870  0.630
Mg  0.500  0.831  0.331
Mg  0.500  0.169  0.669
Mg  0.500  0.331  0.169
Mg  0.500  0.669  0.831
Y  0.000  0.500  0.500
Y  0.000  0.000  0.000

Summary:
For the polymorph energy (0 for the lowest one), the calculation gives 145 meV/atom. As for the space-group type: P4/mbm. For the energy of formation, the calculation gives 6.4 kJ per mole of atoms.

# 10
The following is a DFT calculation (PBE) of a relaxed structure of TbYMg3.

a = 5.802 Å, b = 6.330 Å, c = 8.279 Å
α = 112.47°, β = 90.00°, γ = 90.00°
Sites, in units of the cell vectors:
Y  0.750  0.193  0.386
Y  0.250  0.807  0.614
Mg  0.750  0.111  0.729
Mg  0.000  0.000  0.000
Mg  0.250  0.889  0.271
Mg  0.500  0.000  0.000
Mg  0.750  0.618  0.729
Mg  0.250  0.382  0.271
Tb  0.250  0.403  0.807
Tb  0.750  0.597  0.193

Summary:
For the polymorph energy (0 for the lowest one), the calculation gives 136 meV/atom. As for the space-group type: Cmcm. For the energy of formation, the calculation gives 8.8 kJ per mole of atoms.

# 11
The following is a DFT calculation (PBE) of a relaxed structure of TbY5Mg6.

a = 5.395 Å, b = 7.558 Å, c = 8.527 Å
α = 90.00°, β = 71.56°, γ = 90.00°
Sites, in units of the cell vectors:
Mg  0.167  0.750  0.666
Mg  0.167  0.250  0.666
Mg  0.833  0.750  0.334
Mg  0.500  0.250  0.000
Mg  0.500  0.750  0.000
Mg  0.833  0.250  0.334
Y  0.667  0.000  0.667
Y  0.666  0.500  0.667
Y  0.000  0.500  0.000
Y  0.333  0.000  0.333
Y  0.334  0.500  0.333
Tb  0.000  0.000  0.000

Summary:
As for the space-group type: Cmmm. For the energy of formation, the calculation gives -10.2 kJ per mole of atoms.

# 12
The following is a DFT calculation (PBE) of a relaxed structure of Tb2Y5Mg5.

a = 3.625 Å, b = 8.758 Å, c = 11.683 Å
α = 71.67°, β = 81.07°, γ = 78.06°
Sites, in units of the cell vectors:
Mg  0.226  0.826  0.723
Mg  0.829  0.841  0.500
Mg  0.000  0.000  0.000
Mg  0.171  0.159  0.500
Mg  0.774  0.174  0.277
Tb  0.122  0.514  0.241
Tb  0.878  0.486  0.759
Y  0.500  0.500  0.500
Y  0.555  0.133  0.757
Y  0.335  0.308  0.022
Y  0.445  0.867  0.243
Y  0.665  0.692  0.978

Summary:
As for the space-group type: C2/m. For the energy of formation, the calculation gives -4.2 kJ per mole of atoms.